Entry 1:
The following is a PBE-GGA calculation of Y2CdFe after structural relaxation, from Alexandria via LeMat-Bulk.

The total energy is -5.291 eV/atom. Its formation energy is 0.2853 eV/atom.

It has space group R3m (No. 160, hexagonal axes), with a = 3.4596 Å, b = 3.4596 Å, c = 28.7115 Å, α = 90.00°, β = 90.00° and γ = 120.00°. The distinct sites, in fractional coordinates, are Y at (0.0000, 0.0000, 0.0000), Y at (0.0000, 0.0000, 0.2277), Cd at (0.0000, 0.0000, 0.7571) and Fe at (0.0000, 0.0000, 0.4898).

Entry 2:
The following is a PBE-GGA calculation of YCdFe2 after structural relaxation, from Alexandria via LeMat-Bulk.

The total energy is -5.781 eV/atom. Its formation energy is 0.2955 eV/atom.

It has space group F-43m (No. 216), with a = 6.646 Å, b = 6.646 Å, c = 6.646 Å, α = 90.00°, β = 90.00° and γ = 90.00°. The distinct sites, in fractional coordinates, are Y at (0.000, 0.000, 0.000), Cd at (0.250, 0.250, 0.750), Fe at (0.000, 0.000, 0.500) and Fe at (0.250, 0.250, 0.250).

Entry 3:
The following is a PBE-GGA calculation of Y3CdFe after structural relaxation, from Alexandria via LeMat-Bulk.

The total energy is -5.731 eV/atom. The value obtained for the energy above the lowest structure with this stoichiometry is 0.155 eV/atom. Its formation energy is 0.0235 eV/atom.

It has space group Pm-3m (No. 221), with a = 5.182 Å, b = 5.182 Å, c = 5.182 Å, α = 90.00°, β = 90.00° and γ = 90.00°. The distinct sites, in fractional coordinates, are Y at (0.000, 0.000, 0.500), Cd at (0.500, 0.500, 0.500) and Fe at (0.000, 0.000, 0.000).

Entry 4:
The following is a PBE-GGA calculation of Y2CdFe after structural relaxation, from Alexandria via LeMat-Bulk.

The total energy is -5.683 eV/atom. Its formation energy is -0.1069 eV/atom.

It has space group Pmmm (No. 47), with a = 3.458 Å, b = 3.495 Å, c = 7.642 Å, α = 90.00°, β = 90.00° and γ = 90.00°. The distinct sites, in fractional coordinates, are Y at (0.000, 0.000, 0.215), Cd at (0.500, 0.500, 0.500) and Fe at (0.500, 0.500, 0.000).

Entry 5:
The following is a PBE-GGA calculation of Y5Cd2Fe2 after structural relaxation, from Alexandria via LeMat-Bulk.

The total energy is -5.791 eV/atom. Its formation energy is -0.1157 eV/atom.

It has space group Cmce (No. 64), with a = 16.955 Å, b = 7.245 Å, c = 7.312 Å, α = 90.00°, β = 90.00° and γ = 90.00°. The distinct sites, in fractional coordinates, are Y at (0.000, 0.000, 0.000), Y at (0.122, 0.188, 0.314), Cd at (0.228, 0.000, 0.000) and Fe at (0.000, 0.102, 0.606).

Entry 6:
The following is a PBE-GGA calculation of YCd2Fe after structural relaxation, from Alexandria via LeMat-Bulk.

The total energy is -3.957 eV/atom. Its formation energy is 0.2321 eV/atom.

It has space group Cmmm (No. 65), with a = 5.925 Å, b = 9.132 Å, c = 3.184 Å, α = 90.00°, β = 90.00° and γ = 90.00°. The distinct sites, in fractional coordinates, are Y at (0.000, 0.000, 0.000), Cd at (0.250, 0.250, 0.500) and Fe at (0.000, 0.500, 0.000).

Entry 7:
The following is a PBE-GGA calculation of Y2CdFe after structural relaxation, from Alexandria via LeMat-Bulk.

The total energy is -5.446 eV/atom. Its formation energy is 0.1306 eV/atom.

It has space group I-4m2 (No. 119), with a = 4.385 Å, b = 4.385 Å, c = 9.680 Å, α = 90.00°, β = 90.00° and γ = 90.00°. The distinct sites, in fractional coordinates, are Y at (0.000, 0.000, 0.000), Y at (0.000, 0.500, 0.250), Cd at (0.000, 0.500, 0.750) and Fe at (0.000, 0.000, 0.500).

Entry 8:
The following is a PBE-GGA calculation of YCdFe2 after structural relaxation, from Alexandria via LeMat-Bulk.

The total energy is -5.797 eV/atom. Its formation energy is 0.2795 eV/atom.

It has space group P2/m (No. 10), with a = 3.486 Å, b = 3.414 Å, c = 6.228 Å, α = 90.00°, β = 90.06° and γ = 90.00°. The distinct sites, in fractional coordinates, are Y at (0.000, 0.000, 0.000), Cd at (0.000, 0.000, 0.500) and Fe at (0.500, 0.500, 0.306).

Entry 9:
The following is a PBE-GGA calculation of Y2CdFe after structural relaxation, from Alexandria via LeMat-Bulk.

The total energy is -5.568 eV/atom. Its formation energy is 0.0081 eV/atom.

It has space group Amm2 (No. 38), with a = 4.485 Å, b = 3.872 Å, c = 11.224 Å, α = 90.00°, β = 90.00° and γ = 90.00°. The distinct sites, in fractional coordinates, are Y at (0.000, 0.000, 0.000), Y at (0.500, 0.000, 0.297), Cd at (0.500, 0.000, 0.582) and Fe at (0.000, 0.000, 0.725).

Entry 10:
The following is a PBE-GGA calculation of YCdFe2 after structural relaxation, from Alexandria via LeMat-Bulk.

The total energy is -5.769 eV/atom. Its formation energy is 0.3070 eV/atom.

It has space group P4/mmm (No. 123), with a = 4.400 Å, b = 4.400 Å, c = 3.684 Å, α = 90.00°, β = 90.00° and γ = 90.00°. The distinct sites, in fractional coordinates, are Y at (0.000, 0.000, 0.000), Cd at (0.500, 0.500, 0.000) and Fe at (0.000, 0.500, 0.500).

Entry 11:
The following is a PBE-GGA calculation of YCdFe2 after structural relaxation, from Alexandria via LeMat-Bulk.

The total energy is -5.909 eV/atom. Its formation energy is 0.1674 eV/atom.

It has space group Imm2 (No. 44), with a = 3.359 Å, b = 4.617 Å, c = 9.407 Å, α = 90.00°, β = 90.00° and γ = 90.00°. The distinct sites, in fractional coordinates, are Y at (0.000, 0.000, 0.000), Cd at (0.000, 0.500, 0.782), Fe at (0.000, 0.000, 0.546) and Fe at (0.000, 0.500, 0.222).

Entry 12:
The following is a PBE-GGA calculation of Y4CdFe after structural relaxation, from Alexandria via LeMat-Bulk.

The total energy is -5.213 eV/atom. The value obtained for the energy above the lowest structure with this stoichiometry is 0.772 eV/atom. Its formation energy is 0.6597 eV/atom.

It has space group F-43m (No. 216), with a = 8.784 Å, b = 8.784 Å, c = 8.784 Å, α = 90.00°, β = 90.00° and γ = 90.00°. The distinct sites, in fractional coordinates, are Y at (0.125, 0.125, 0.125), Cd at (0.250, 0.250, 0.750) and Fe at (0.000, 0.000, 0.500).